1.
The following is a PBE calculation of crystalline MnNb3 at its relaxed geometry, from the Alexandria database.

Energy relative to the elements (eV per atom): 0.469
E_tot (eV per atom): -9.38
Crystal system: orthorhombic
Volume (Å³ per atom): 17.54
Total magnetization (μB per atom): 0.00

Unit cell a=2.8602 b=2.9602 c=8.2874 alpha=90.00 beta=90.00 gamma=90.00
Closest atoms and distances in Å follow each position.
Fractional coordinates of all 4 atoms:
Mn 0.0000 0.0000 0.0000  6 Nb 2.44-2.56
Nb 0.0000 0.5000 0.2345  2 Mn 2.44
Nb 0.5000 0.0000 0.5084  10 Nb 2.86-3.06
Nb 0.5000 0.5000 0.8161  4 Mn 2.56, 2 Nb 2.86

=====

2.
The following is a PBE calculation of crystalline LaAg3Au8 at its relaxed geometry, from the Alexandria database.

Energy relative to the elements (eV per atom): -0.189
E_tot (eV per atom): -3.50
Crystal system: trigonal
Volume (Å³ per atom): 20.41
Total magnetization (μB per atom): 0.00

Unit cell a=5.5363 b=5.5363 c=9.2257 alpha=90.00 beta=90.00 gamma=120.00
Closest atoms and distances in Å follow each position.
Fractional coordinates of all 12 atoms:
La 0.0000 0.0000 0.0000  12 Au 3.25-3.30, 3 Ag 3.55
Ag 0.0000 0.0000 0.3967  12 Au 3.09-3.35, 3 Ag 3.29
Ag 0.6667 0.3333 0.4819  12 Au 3.09-3.35, 4 Ag 3.23-3.29
Ag 0.6667 0.3333 0.8321  9 Au 3.08-3.34, 1 Ag 3.23
Au 0.1640 0.3281 0.6854  6 Au 2.72-2.84
Au 0.1640 0.8360 0.6854  6 Au 2.72-2.84
Au 0.3333 0.6667 0.4383  6 Au 2.79-2.80
Au 0.3333 0.6667 0.9375  6 Au 2.84-2.86
Au 0.5035 0.0069 0.1926  6 Au 2.71-2.86
Au 0.5035 0.4965 0.1926  6 Au 2.71-2.86
Au 0.6719 0.8360 0.6854  6 Au 2.72-2.84
Au 0.9931 0.4965 0.1926  6 Au 2.71-2.86

=====

3.
The following is a PBE calculation of crystalline Mg2CdSn at its relaxed geometry, from the Alexandria database.

Energy relative to the elements (eV per atom): -0.120
E_tot (eV per atom): -2.15
Crystal system: tetragonal
Volume (Å³ per atom): 22.75
Total magnetization (μB per atom): 0.00

Unit cell a=4.6628 b=4.6628 c=4.1859 alpha=90.00 beta=90.00 gamma=90.00
Closest atoms and distances in Å follow each position.
Fractional coordinates of all 4 atoms:
Mg 0.0000 0.5000 0.0000  4 Sn 3.13, 4 Cd 3.13, 4 Mg 3.30
Mg 0.5000 0.0000 0.0000  4 Sn 3.13, 4 Cd 3.13, 4 Mg 3.30
Cd 0.0000 0.0000 0.5000  8 Mg 3.13, 4 Sn 3.30
Sn 0.5000 0.5000 0.5000  8 Mg 3.13, 4 Cd 3.30

=====

4.
The following is a PBE calculation of crystalline SrHoBr at its relaxed geometry, from the Alexandria database.

E_tot (eV per atom): -3.30
Crystal system: monoclinic
Volume (Å³ per atom): 36.83
Total magnetization (μB per atom): 0.03

Unit cell a=3.8694 b=3.8694 c=14.7584 alpha=90.21 beta=90.21 gamma=90.01
Closest atoms and distances in Å follow each position.
Fractional coordinates of all 6 atoms:
Sr 0.0000 0.0000 0.0000  1 Br 3.22
Sr 0.5030 0.5030 0.2134  1 Br 3.23
Ho 0.4966 0.4966 0.6978  4 Br 3.00-3.01
Ho 0.9941 0.9941 0.5442  5 Br 3.19-3.51, 4 Ho 3.55
Br 0.4925 0.4925 0.4325  4 Ho 3.19, 1 Sr 3.23
Br 0.9979 0.9979 0.7820  4 Ho 3.00-3.01, 1 Sr 3.22

=====

5.
The following is a PBE calculation of crystalline BaPmSe2F at its relaxed geometry, from the Alexandria database.

E_tot (eV per atom): -5.57
Crystal system: tetragonal
Volume (Å³ per atom): 27.94
Total magnetization (μB per atom): 0.00

Unit cell a=4.2908 b=4.2908 c=15.1756 alpha=90.00 beta=90.00 gamma=90.00
Closest atoms and distances in Å follow each position.
Fractional coordinates of all 10 atoms:
Ba 0.2500 0.2500 0.1048  4 F 2.67
Ba 0.7500 0.7500 0.8952  4 F 2.67
Pm 0.2500 0.2500 0.6179  1 Se 2.68
Pm 0.7500 0.7500 0.3821  1 Se 2.68
Se 0.2500 0.2500 0.4089  5 Pm 3.06-3.17
Se 0.2500 0.2500 0.7947  1 Pm 2.68
Se 0.7500 0.7500 0.2053  1 Pm 2.68
Se 0.7500 0.7500 0.5911  5 Pm 3.06-3.17
F 0.2500 0.7500 0.0000  4 Ba 2.67
F 0.7500 0.2500 0.0000  4 Ba 2.67

=====

6.
The following is a PBE calculation of crystalline YHo3Sc2Te6 at its relaxed geometry, from the Alexandria database.

E_tot (eV per atom): -5.51
Crystal system: monoclinic
Volume (Å³ per atom): 27.87
Total magnetization (μB per atom): 0.00

Unit cell a=9.5851 b=9.5851 c=8.5966 alpha=102.89 beta=102.89 gamma=25.79
Closest atoms and distances in Å follow each position.
Fractional coordinates of all 12 atoms:
Y 0.0000 0.0000 0.0000  6 Te 3.04-3.09
Ho 0.0000 0.0000 0.5000  6 Te 3.02-3.10
Ho 0.3388 0.3388 0.1704  6 Te 3.03-3.09
Ho 0.6612 0.6612 0.8296  6 Te 3.03-3.09
Sc 0.3347 0.3347 0.6690  6 Te 2.91-2.99
Sc 0.6653 0.6653 0.3310  6 Te 2.91-2.99
Te 0.1699 0.1699 0.0920  2 Sc 2.98, 3 Ho 3.07-3.09, 1 Y 3.09
Te 0.1703 0.1703 0.5758  3 Sc 2.99, 3 Ho 3.09-3.10
Te 0.4948 0.4948 0.7458  1 Sc 2.91, 3 Ho 3.02-3.03, 2 Y 3.04
Te 0.5052 0.5052 0.2542  1 Sc 2.91, 3 Ho 3.02-3.03, 2 Y 3.04
Te 0.8297 0.8297 0.4242  3 Sc 2.99, 3 Ho 3.09-3.10
Te 0.8301 0.8301 0.9080  2 Sc 2.98, 3 Ho 3.07-3.09, 1 Y 3.09

=====

7.
The following is a PBE calculation of crystalline Ho4HgRu2Pt at its relaxed geometry, from the Alexandria database.

Energy relative to the elements (eV per atom): -0.604
E_tot (eV per atom): -6.00
Crystal system: trigonal
Volume (Å³ per atom): 21.13
Total magnetization (μB per atom): 0.00

Unit cell a=8.5532 b=8.5532 c=8.5532 alpha=33.42 beta=33.42 gamma=33.42
Closest atoms and distances in Å follow each position.
Fractional coordinates of all 8 atoms:
Ho 0.1207 0.1207 0.1207  1 Pt 2.92, 4 Ru 2.98-3.13, 3 Hg 3.05
Ho 0.3719 0.3719 0.3719  4 Ru 2.95-3.04, 3 Pt 2.99, 1 Hg 3.10
Ho 0.6281 0.6281 0.6281  4 Ru 2.95-3.04, 3 Pt 2.99, 1 Hg 3.10
Ho 0.8793 0.8793 0.8793  1 Pt 2.92, 4 Ru 2.98-3.13, 3 Hg 3.05
Hg 0.5000 0.5000 0.5000  8 Ho 3.05-3.10
Ru 0.2499 0.2499 0.2499  8 Ho 2.95-3.13
Ru 0.7501 0.7501 0.7501  8 Ho 2.95-3.13
Pt 0.0000 0.0000 0.0000  8 Ho 2.92-2.99

=====

8.
The following is a PBE calculation of crystalline PuTi2Pt at its relaxed geometry, from the Alexandria database.

ΔE to the lowest computed polymorph (eV/f.u.): 0.46
Energy relative to the elements (eV per atom): -0.279
E_tot (eV per atom): -9.32
Crystal system: cubic
Volume (Å³ per atom): 17.48
Total magnetization (μB per atom): 1.57

Unit cell a=4.6244 b=4.6244 c=4.6244 alpha=60.00 beta=60.00 gamma=60.00
Closest atoms and distances in Å follow each position.
Fractional coordinates of all 4 atoms:
Pu 0.0000 0.0000 0.0000  8 Ti 2.83
Ti 0.2500 0.2500 0.2500  4 Pt 2.83, 4 Pu 2.83
Ti 0.7500 0.7500 0.7500  4 Pu 2.83, 4 Pt 2.83
Pt 0.5000 0.5000 0.5000  8 Ti 2.83

=====

What did the seventh record say?
The following is a PBE calculation of crystalline Ho4HgRu2Pt at its relaxed geometry, from the Alexandria database.

Energy relative to the elements (eV per atom): -0.604
E_tot (eV per atom): -6.00
Crystal system: trigonal
Volume (Å³ per atom): 21.13
Total magnetization (μB per atom): 0.00

Unit cell a=8.5532 b=8.5532 c=8.5532 alpha=33.42 beta=33.42 gamma=33.42
Closest atoms and distances in Å follow each position.
Fractional coordinates of all 8 atoms:
Ho 0.1207 0.1207 0.1207  1 Pt 2.92, 4 Ru 2.98-3.13, 3 Hg 3.05
Ho 0.3719 0.3719 0.3719  4 Ru 2.95-3.04, 3 Pt 2.99, 1 Hg 3.10
Ho 0.6281 0.6281 0.6281  4 Ru 2.95-3.04, 3 Pt 2.99, 1 Hg 3.10
Ho 0.8793 0.8793 0.8793  1 Pt 2.92, 4 Ru 2.98-3.13, 3 Hg 3.05
Hg 0.5000 0.5000 0.5000  8 Ho 3.05-3.10
Ru 0.2499 0.2499 0.2499  8 Ho 2.95-3.13
Ru 0.7501 0.7501 0.7501  8 Ho 2.95-3.13
Pt 0.0000 0.0000 0.0000  8 Ho 2.92-2.99